The following is a DFT calculation (PBE) of Pr7Dy3Ho2 after structural relaxation.

Unit cell a=3.6479 b=5.8580 c=19.5119 alpha=98.63 beta=90.00 gamma=90.00
With the nearest neighbours (Å) after each atom.
Fractional coordinates of all 12 atoms:
Pr: 0.0000 0.5935 0.1870  6 Pr 3.54-3.65, 2 Ho 3.63, 2 Dy 3.95
Pr: 0.0000 0.4065 0.8130  6 Pr 3.54-3.65, 2 Ho 3.63, 2 Dy 3.95
Pr: 0.0000 0.0000 0.0000  6 Pr 3.36-3.65, 4 Dy 3.45
Pr: 0.5000 0.0731 0.1462  8 Pr 3.36-3.65, 2 Ho 3.46
Pr: 0.0000 0.2324 0.4647  1 Ho 3.21, 2 Pr 3.23
Pr: 0.5000 0.9269 0.8538  8 Pr 3.36-3.65, 2 Ho 3.46
Pr: 0.0000 0.7677 0.5353  1 Ho 3.21, 2 Pr 3.23
Ho: 0.0000 0.1492 0.2984  3 Pr 3.21-3.46
Ho: 0.0000 0.8508 0.7016  3 Pr 3.21-3.46
Dy: 0.5000 0.5000 0.0000  4 Pr 3.45, 2 Dy 3.65
Dy: 0.5000 0.6843 0.3685  2 Dy 3.65, 8 Pr 3.70-3.95, 4 Ho 3.71
Dy: 0.5000 0.3157 0.6315  2 Dy 3.65, 8 Pr 3.70-3.95, 4 Ho 3.71

Summary:
Formation energy from the elements ... 0.1161 eV/atom
Energy relative to the lowest polymorph listed for this composition ... 45 meV per atom

***

The following is a DFT calculation (PBE) of Ce4HgTe2As after structural relaxation.

Unit cell a=4.3537 b=7.6660 c=7.7177 alpha=71.23 beta=90.00 gamma=90.00
With the nearest neighbours (Å) after each atom.
Fractional coordinates of all 8 atoms:
Hg: 0.5000 0.5000 0.0000  6 Ce 3.12-3.13
Ce: 0.0000 0.7399 0.7422  1 As 3.01, 2 Hg 3.12, 3 Te 3.13-3.24
Ce: 0.5000 0.2677 0.7327  2 As 3.01, 1 Hg 3.13, 3 Te 3.13-3.24
Ce: 0.0000 0.2601 0.2578  1 As 3.01, 2 Hg 3.12, 3 Te 3.13-3.24
Ce: 0.5000 0.7323 0.2673  2 As 3.01, 1 Hg 3.13, 3 Te 3.13-3.24
As: 0.0000 0.5000 0.5000  6 Ce 3.01
Te: 0.0000 0.0000 0.0000  6 Ce 3.24
Te: 0.5000 0.0000 0.5000  6 Ce 3.13

Summary:
Calculated total energy ... -43.39 eV for the cell shown

***

The following is a DFT calculation (PBE) of TiPdI2N after structural relaxation.

Unit cell a=5.6391 b=5.6391 c=3.7162 alpha=90.00 beta=90.00 gamma=90.00
With the nearest neighbours (Å) after each atom.
Fractional coordinates of all 5 atoms:
Pd: 0.5000 0.5000 0.5000  8 I 3.38, 2 Pd 3.72
Ti: 0.0000 0.0000 0.0000  2 N 1.86
I: 0.5000 0.0000 0.0000  2 Ti 2.82
I: 0.0000 0.5000 0.0000  2 Ti 2.82
N: 0.0000 0.0000 0.5000  2 Ti 1.86

Summary:
Energy relative to the lowest polymorph listed for this composition ... 0 meV per atom

***

The following is a DFT calculation (PBE) of Pr3Sn2Au after structural relaxation.

Unit cell a=4.6747 b=12.1715 c=12.7075 alpha=90.00 beta=90.00 gamma=90.00
With the nearest neighbours (Å) after each atom.
Fractional coordinates of all 24 atoms:
Pr: 0.7500 0.8739 0.4499  1 Au 3.13, 5 Sn 3.24-3.42
Pr: 0.2500 0.0606 0.8729  5 Sn 3.29-3.40, 3 Au 3.30-3.37, 1 Pr 3.67
Pr: 0.2500 0.6955 0.2204  2 Au 3.12, 4 Sn 3.22-3.46
Pr: 0.7500 0.9394 0.1271  5 Sn 3.29-3.40, 3 Au 3.30-3.37, 1 Pr 3.67
Pr: 0.2500 0.3739 0.0501  1 Au 3.13, 5 Sn 3.24-3.42
Pr: 0.7500 0.6261 0.9499  1 Au 3.13, 5 Sn 3.24-3.42
Pr: 0.2500 0.8045 0.7204  2 Au 3.12, 4 Sn 3.22-3.46
Pr: 0.2500 0.4394 0.3729  5 Sn 3.29-3.40, 3 Au 3.30-3.37, 1 Pr 3.67
Pr: 0.7500 0.1955 0.2796  2 Au 3.12, 4 Sn 3.22-3.46
Pr: 0.2500 0.1261 0.5501  1 Au 3.13, 5 Sn 3.24-3.42
Pr: 0.7500 0.5606 0.6271  5 Sn 3.29-3.40, 3 Au 3.30-3.37, 1 Pr 3.67
Pr: 0.7500 0.3045 0.7796  2 Au 3.12, 4 Sn 3.22-3.46
Sn: 0.2500 0.5090 0.8137  1 Au 2.90, 2 Pr 3.24
Sn: 0.2500 0.6888 0.4927  2 Au 2.89, 1 Pr 3.22
Sn: 0.2500 0.9910 0.3137  1 Au 2.90, 2 Pr 3.24
Sn: 0.7500 0.3112 0.5073  2 Au 2.89, 1 Pr 3.22
Sn: 0.7500 0.4910 0.1863  1 Au 2.90, 2 Pr 3.24
Sn: 0.7500 0.1888 0.0073  2 Au 2.89, 1 Pr 3.22
Sn: 0.2500 0.8112 0.9927  2 Au 2.89, 1 Pr 3.22
Sn: 0.7500 0.0090 0.6863  1 Au 2.90, 2 Pr 3.24
Au: 0.2500 0.1306 0.1292  3 Sn 2.89-2.90, 3 Pr 3.12-3.13
Au: 0.2500 0.3694 0.6292  3 Sn 2.89-2.90, 3 Pr 3.12-3.13
Au: 0.7500 0.6306 0.3708  3 Sn 2.89-2.90, 3 Pr 3.12-3.13
Au: 0.7500 0.8694 0.8708  3 Sn 2.89-2.90, 3 Pr 3.12-3.13

Summary:
Formation energy from the elements ... -0.7424 eV/atom

***

no.,density of states at the Fermi level (states/eV/f.u.)
1,19.6
2,28.0
3,5.9
4,6.1